# SbIr2Rh GGA-PBE optimized geometry
data_SbIr2Rh
_chemical_formula_sum 'Sb1 Ir2 Rh1'
_cell_length_a 4.5080
_cell_length_b 4.5080
_cell_length_c 4.5080
_cell_angle_alpha 60.00
_cell_angle_beta 60.00
_cell_angle_gamma 60.00
_symmetry_space_group_name_H-M 'P 1'
_symmetry_Int_Tables_number 1
loop_
_symmetry_equiv_pos_as_xyz
'x,y,z'
loop_
_atom_site_label
_atom_site_type_symbol
_atom_site_fract_x
_atom_site_fract_y
_atom_site_fract_z
Sb1 Sb 0.0000 0.0000 0.0000
Ir1 Ir 0.2500 0.2500 0.2500
Ir2 Ir 0.5000 0.5000 0.5000
Rh1 Rh 0.7500 0.7500 0.7500
# M_tot ... 0.00 μB per formula unit
# Calculated volume ... 16.195 Å³ per atom
# SG ... F-43m, No. 216
# Calculated total energy ... -7.04 eV/atom
# Formation energy without anion corrections ... 259.5 meV per atom
# ρ ... 15.613 g cm⁻³